## Pa2As (PBE-GGA)

Data for a geometry-optimized Pa2As structure.

final energy: -8.272 eV per atom
ΔE_f: -9.02 kcal/mol of atoms

a = 3.930 Å, b = 3.930 Å, c = 5.333 Å
α = 111.65°, β = 111.65°, γ = 90.01°
Element x y z (fractional)
As: 0.500 0.500 0.000
Pa: 0.145 0.145 0.288
Pa: 0.855 0.855 0.712


## Pa4As3 (PBE-GGA)

Data for a geometry-optimized Pa4As3 structure.

final energy: -8.203 eV per atom
ΔE_f: -18.08 kcal/mol of atoms

a = 7.473 Å, b = 7.473 Å, c = 7.473 Å
α = 109.47°, β = 109.47°, γ = 109.47°
Element x y z (fractional)
Pa: 0.352 0.500 0.000
Pa: 0.500 0.352 0.500
Pa: 0.000 0.000 0.352
Pa: 0.648 0.148 0.148
Pa: 0.000 0.000 0.852
Pa: 0.148 0.648 0.648
Pa: 0.852 0.500 0.000
Pa: 0.500 0.852 0.500
As: 0.125 0.375 0.250
As: 0.625 0.750 0.875
As: 0.875 0.250 0.625
As: 0.250 0.875 0.125
As: 0.750 0.625 0.375
As: 0.375 0.125 0.750


## Pa3As (PBE-GGA)

Data for a geometry-optimized Pa3As structure.

final energy: -8.743 eV per atom
ΔE_f: -10.59 kcal/mol of atoms

a = 4.458 Å, b = 4.458 Å, c = 4.458 Å
α = 90.00°, β = 90.00°, γ = 90.00°
Element x y z (fractional)
As: 0.000 0.000 0.000
Pa: 0.000 0.500 0.500
Pa: 0.500 0.000 0.500
Pa: 0.500 0.500 0.000